A geometry-optimized MnRe2As structure, computed with GGA-PBE.

Lattice parameters (Å, degrees): 4.699 4.699 4.511 73.18 73.18 36.54
Positions (direct):
As  0.506  0.506  0.532
Mn  0.249  0.249  0.199
Re  0.989  0.989  0.072
Re  0.756  0.756  0.697

Properties
calculated volume	14.120	Å³ per atom
crystal system	monoclinic
total moment	1.387	μB per formula unit
Fermi-level density of states	3.1	states/eV/cell
formation energy from the elements	0.197	eV per atom
SG	Cm, No. 8

=====

A geometry-optimized MnRe2As structure, computed with GGA-PBE.

Lattice parameters (Å, degrees): 4.351 2.799 4.884 86.55 90.00 90.00
Positions (direct):
As  0.500  0.250  0.250
Mn  0.500  0.750  0.750
Re  0.000  0.053  0.992
Re  0.000  0.447  0.508

Properties
calculated volume	14.843	Å³ per atom
crystal system	monoclinic
total moment	2.514	μB per formula unit
Fermi-level density of states	3.5	states/eV/cell
formation energy from the elements	0.371	eV per atom
SG	P2/m, No. 10